Record 1
VASP calculation (PBE) on a relaxed LiTbAu4 crystal.

Calculated values
Theoretical density (g/cm3): 13.066
Energy relative to the lowest polymorph listed for this composition (meV/atom): 102
Crystal system: cubic
E_form (eV per atom): -0.481

a b c (Å): 5.5550 5.5550 5.5550
angles (deg): 60.00 60.00 60.00
Last column: nearest neighbours and their distance in Å.
Fractional coordinates of all 6 atoms:
Tb 0.0000 0.0000 0.0000  12 Au 3.26, 4 Li 3.40
Au 0.6245 0.6245 0.1265  6 Au 2.77-2.79
Au 0.6245 0.1265 0.6245  6 Au 2.77-2.79
Au 0.6245 0.6245 0.6245  6 Au 2.77-2.79
Au 0.1265 0.6245 0.6245  6 Au 2.77-2.79
Li 0.2500 0.2500 0.2500  12 Au 3.26, 4 Tb 3.40

Record 2
VASP calculation (PBE) on a relaxed LiTb4Au3 crystal.

Calculated values
Theoretical density (g/cm3): 10.720
Crystal system: monoclinic
E_form (eV per atom): -0.649

a b c (Å): 5.1329 5.1328 8.1134
angles (deg): 108.51 108.44 90.00
Last column: nearest neighbours and their distance in Å.
Fractional coordinates of all 8 atoms:
Au 0.0000 0.5000 0.0000  8 Tb 3.16
Au 0.7328 0.2334 0.4655  8 Tb 2.99-3.28
Au 0.2672 0.7666 0.5345  8 Tb 2.99-3.28
Tb 0.3730 0.3727 0.7459  6 Au 2.99-3.27, 2 Li 3.16
Tb 0.6270 0.6273 0.2541  6 Au 2.99-3.27, 2 Li 3.16
Tb 0.1270 0.1270 0.2541  6 Au 2.99-3.28, 2 Li 3.16
Tb 0.8730 0.8730 0.7459  6 Au 2.99-3.28, 2 Li 3.16
Li 0.5000 0.0000 0.0000  8 Tb 3.16, 2 Au 3.38

Record 3
VASP calculation (PBE) on a relaxed Li2TbAu crystal.

Calculated values
Theoretical density (g/cm3): 8.330
Energy relative to the lowest polymorph listed for this composition (meV/atom): 178
Crystal system: cubic
E_form (eV per atom): -0.257

a b c (Å): 4.7063 4.7063 4.7063
angles (deg): 60.00 60.00 60.00
Last column: nearest neighbours and their distance in Å.
Fractional coordinates of all 4 atoms:
Tb 0.5000 0.5000 0.5000  8 Li 2.88
Au 0.0000 0.0000 0.0000  8 Li 2.88
Li 0.2500 0.2500 0.2500  4 Tb 2.88, 4 Au 2.88
Li 0.7500 0.7500 0.7500  4 Au 2.88, 4 Tb 2.88

Record 4
VASP calculation (PBE) on a relaxed Li3TbAu3 crystal.

Calculated values
Theoretical density (g/cm3): 9.372
Energy relative to the lowest polymorph listed for this composition (meV/atom): 0
Crystal system: trigonal
E_form (eV per atom): -0.504

a b c (Å): 6.8801 6.8801 7.7562
angles (deg): 63.67 63.67 60.00
Last column: nearest neighbours and their distance in Å.
Fractional coordinates of all 14 atoms:
Li 0.5675 0.7417 0.6022  4 Au 2.66-2.95, 2 Li 2.70
Li 0.7417 0.0886 0.6022  4 Au 2.66-2.95, 2 Li 2.70
Li 0.0886 0.5675 0.6022  4 Au 2.66-2.95, 2 Li 2.70
Li 0.9114 0.4325 0.3978  4 Au 2.66-2.95, 2 Li 2.70
Li 0.2583 0.9114 0.3978  4 Au 2.66-2.95, 2 Li 2.70
Li 0.4325 0.2583 0.3978  4 Au 2.66-2.95, 2 Li 2.70
Tb 0.3386 0.3386 0.9843  6 Au 2.94-3.02
Tb 0.6614 0.6614 0.0157  6 Au 2.94-3.02
Au 0.1763 0.6870 0.2031  4 Li 2.66-2.95, 2 Au 2.92, 1 Tb 2.94
Au 0.9336 0.1763 0.2031  4 Li 2.66-2.95, 2 Au 2.92, 1 Tb 2.94
Au 0.6870 0.9336 0.2031  4 Li 2.66-2.95, 2 Au 2.92, 1 Tb 2.94
Au 0.3130 0.0664 0.7969  4 Li 2.66-2.95, 2 Au 2.92, 1 Tb 2.94
Au 0.0664 0.8237 0.7969  4 Li 2.66-2.95, 2 Au 2.92, 1 Tb 2.94
Au 0.8237 0.3130 0.7969  4 Li 2.66-2.95, 2 Au 2.92, 1 Tb 2.94

Record 5
VASP calculation (PBE) on a relaxed Li4Tb3Au4 crystal.

Calculated values
Theoretical density (g/cm3): 9.459
Energy relative to the lowest polymorph listed for this composition (meV/atom): 29
Crystal system: triclinic
E_form (eV per atom): -0.567

a b c (Å): 3.6541 4.3063 14.7065
angles (deg): 81.29 82.79 89.99
Last column: nearest neighbours and their distance in Å.
Fractional coordinates of all 11 atoms:
Li 0.5927 0.0942 0.8128  3 Au 2.49-2.59
Li 0.2534 0.2523 0.4936  4 Au 2.72-2.83, 4 Li 2.82-2.84
Li 0.7466 0.7478 0.5064  4 Au 2.72-2.83, 4 Li 2.82-2.84
Li 0.4073 0.9058 0.1872  3 Au 2.49-2.59
Tb 0.1424 0.6443 0.7136  6 Au 3.05-3.25, 4 Li 3.16-3.17
Tb 0.8576 0.3557 0.2863  6 Au 3.05-3.25, 4 Li 3.16-3.17
Tb 0.0000 0.0000 0.0000  8 Au 3.17-3.18, 4 Li 3.26
Au 0.5511 0.5501 0.8993  2 Li 2.49
Au 0.4490 0.4499 0.1007  2 Li 2.49
Au 0.3172 0.8149 0.3671  5 Li 2.59-2.83
Au 0.6829 0.1852 0.6329  5 Li 2.59-2.83

Record 6
VASP calculation (PBE) on a relaxed Li4Tb3Au4 crystal.

Calculated values
Theoretical density (g/cm3): 9.457
Energy relative to the lowest polymorph listed for this composition (meV/atom): 0
Crystal system: orthorhombic
E_form (eV per atom): -0.596

a b c (Å): 4.0411 7.8177 8.4239
angles (deg): 117.65 103.88 90.00
Last column: nearest neighbours and their distance in Å.
Fractional coordinates of all 11 atoms:
Li 0.3234 0.1291 0.6469  4 Au 2.61-2.80
Li 0.6766 0.4822 0.3531  4 Au 2.61-2.80
Li 0.6766 0.8709 0.3531  4 Au 2.61-2.80
Li 0.3234 0.5178 0.6469  4 Au 2.61-2.80
Tb 0.1207 0.1207 0.2415  6 Au 3.03-3.08, 6 Li 3.23-3.28
Tb 0.8793 0.8793 0.7585  6 Au 3.03-3.08, 6 Li 3.23-3.28
Tb 0.0000 0.5000 0.0000  6 Au 3.11-3.19
Au 0.2220 0.7220 0.4440  6 Li 2.61-2.80
Au 0.7780 0.2780 0.5560  6 Li 2.61-2.80
Au 0.5000 0.8024 0.0000  2 Li 2.67
Au 0.5000 0.1976 0.0000  2 Li 2.67

Record 7
VASP calculation (PBE) on a relaxed Li6TbAu2 crystal.

Calculated values
Theoretical density (g/cm3): 4.944
Crystal system: monoclinic
E_form (eV per atom): -0.191

a b c (Å): 4.3015 7.3239 7.3239
angles (deg): 67.47 73.09 73.09
Last column: nearest neighbours and their distance in Å.
Fractional coordinates of all 9 atoms:
Li 0.2528 0.9208 0.5735  2 Li 2.48-2.49, 3 Au 2.71-2.77
Li 0.7472 0.0792 0.4265  2 Li 2.48-2.49, 3 Au 2.71-2.77
Li 0.7472 0.4265 0.0792  2 Li 2.48-2.49, 3 Au 2.71-2.77
Li 0.5000 0.3028 0.6972  2 Li 2.83
Li 0.5000 0.6972 0.3028  2 Li 2.83
Li 0.2528 0.5735 0.9208  2 Li 2.48-2.49, 3 Au 2.71-2.77
Tb 0.0000 0.0000 0.0000  4 Au 2.95-2.96, 8 Li 3.21-3.27
Au 0.3233 0.1770 0.1770  6 Li 2.71-2.77, 2 Tb 2.95-2.96
Au 0.6767 0.8230 0.8230  6 Li 2.71-2.77, 2 Tb 2.95-2.96

Record 8
VASP calculation (PBE) on a relaxed Li2TbAu8 crystal.

Calculated values
Theoretical density (g/cm3): 14.582
Energy relative to the lowest polymorph listed for this composition (meV/atom): 0
Crystal system: monoclinic
E_form (eV per atom): -0.471

a b c (Å): 4.1038 6.7007 7.8413
angles (deg): 106.30 105.17 90.00
Last column: nearest neighbours and their distance in Å.
Fractional coordinates of all 11 atoms:
Li 0.7788 0.3517 0.5575  10 Au 2.75-2.93
Li 0.2212 0.6483 0.4425  10 Au 2.75-2.93
Tb 0.5000 0.0000 0.0000  12 Au 2.99-3.05
Au 0.3949 0.5377 0.7898  3 Li 2.75-2.93, 7 Au 2.87-3.07, 1 Tb 3.04
Au 0.6837 0.9155 0.3674  3 Li 2.86-2.89, 8 Au 2.86-2.99, 1 Tb 2.99
Au 0.8528 0.7945 0.7056  3 Li 2.83-2.85, 6 Au 2.87-3.14, 2 Tb 3.05
Au 0.9523 0.2818 0.9045  1 Li 2.80, 7 Au 2.86-3.07, 2 Tb 3.02
Au 0.1472 0.2055 0.2944  3 Li 2.83-2.85, 6 Au 2.87-3.14, 2 Tb 3.05
Au 0.3163 0.0845 0.6326  3 Li 2.86-2.89, 8 Au 2.86-2.99, 1 Tb 2.99
Au 0.6051 0.4623 0.2102  3 Li 2.75-2.93, 7 Au 2.87-3.07, 1 Tb 3.04
Au 0.0477 0.7182 0.0955  1 Li 2.80, 7 Au 2.86-3.07, 2 Tb 3.02

Record 9
VASP calculation (PBE) on a relaxed Li2Tb3Au6 crystal.

Calculated values
Theoretical density (g/cm3): 11.952
Crystal system: tetragonal
E_form (eV per atom): -0.614

a b c (Å): 4.5004 4.5004 11.9063
angles (deg): 100.89 100.89 90.00
Last column: nearest neighbours and their distance in Å.
Fractional coordinates of all 11 atoms:
Li 0.4476 0.4476 0.8951  1 Li 2.41, 4 Au 2.46
Li 0.5524 0.5524 0.1049  1 Li 2.41, 4 Au 2.46
Tb 0.0000 0.0000 0.0000  8 Au 3.15, 8 Li 3.40
Tb 0.8080 0.8080 0.6160  9 Au 2.88-3.19
Tb 0.1920 0.1920 0.3840  9 Au 2.88-3.19
Au 0.0961 0.5961 0.1922  2 Li 2.46
Au 0.5961 0.0961 0.1922  2 Li 2.46
Au 0.9039 0.4039 0.8078  2 Li 2.46
Au 0.4039 0.9039 0.8078  2 Li 2.46
Au 0.6825 0.6825 0.3649  5 Tb 2.88-3.19, 1 Li 2.98, 4 Au 3.00
Au 0.3175 0.3175 0.6351  5 Tb 2.88-3.19, 1 Li 2.98, 4 Au 3.00

Record 10
VASP calculation (PBE) on a relaxed Li2TbAu crystal.

Calculated values
Theoretical density (g/cm3): 7.491
Energy relative to the lowest polymorph listed for this composition (meV/atom): 0
Crystal system: monoclinic
E_form (eV per atom): -0.435

a b c (Å): 6.0883 4.7893 5.6251
angles (deg): 90.00 90.00 91.88
Last column: nearest neighbours and their distance in Å.
Fractional coordinates of all 8 atoms:
Li 0.3970 0.7507 0.9963  4 Li 2.66-2.85, 2 Au 2.70-2.90
Li 0.3970 0.7507 0.5037  4 Li 2.66-2.85, 2 Au 2.70-2.90
Li 0.6030 0.2493 0.0037  4 Li 2.66-2.85, 2 Au 2.70-2.90
Li 0.6030 0.2493 0.4963  4 Li 2.66-2.85, 2 Au 2.70-2.90
Tb 0.0724 0.2498 0.2500  4 Au 2.97-3.03, 2 Li 3.18
Tb 0.9276 0.7502 0.7500  4 Au 2.97-3.03, 2 Li 3.18
Au 0.7730 0.7429 0.2500  6 Li 2.70-3.01, 3 Tb 2.97-2.99
Au 0.2270 0.2571 0.7500  6 Li 2.70-3.01, 3 Tb 2.97-2.99

Record 11
VASP calculation (PBE) on a relaxed LiTb5Au6 crystal.

Calculated values
Theoretical density (g/cm3): 11.990
Crystal system: monoclinic
E_form (eV per atom): -0.791

a b c (Å): 5.0311 8.7517 8.7517
angles (deg): 119.77 106.64 106.64
Last column: nearest neighbours and their distance in Å.
Fractional coordinates of all 12 atoms:
Au 0.2589 0.0865 0.4304  7 Tb 3.04-3.15, 1 Li 3.20
Au 0.7411 0.5696 0.9135  7 Tb 3.04-3.15, 1 Li 3.20
Au 0.7642 0.2625 0.2625  6 Tb 3.03-3.08, 2 Li 3.14-3.16
Au 0.2358 0.7375 0.7375  6 Tb 3.03-3.08, 2 Li 3.14-3.16
Au 0.2589 0.4304 0.0865  7 Tb 3.04-3.15, 1 Li 3.20
Au 0.7411 0.9135 0.5696  7 Tb 3.04-3.15, 1 Li 3.20
Tb 0.5000 0.1561 0.8439  8 Au 3.03-3.15
Tb 0.0000 0.3306 0.6694  8 Au 3.04-3.08
Tb 0.5000 0.5000 0.5000  8 Au 3.04-3.13
Tb 0.0000 0.6694 0.3306  8 Au 3.04-3.08
Tb 0.5000 0.8439 0.1561  8 Au 3.03-3.15
Li 0.0000 0.0000 0.0000  8 Au 3.14-3.20, 4 Tb 3.45

Record 12
VASP calculation (PBE) on a relaxed LiTb2Au2 crystal.

Calculated values
Theoretical density (g/cm3): 9.670
Energy relative to the lowest polymorph listed for this composition (meV/atom): 83
Crystal system: orthorhombic
E_form (eV per atom): -0.599

a b c (Å): 5.7242 7.5214 7.4300
angles (deg): 120.41 112.66 90.00
Last column: nearest neighbours and their distance in Å.
Fractional coordinates of all 10 atoms:
Li 0.7500 0.5000 0.0000  4 Au 2.76, 2 Li 2.86
Li 0.2500 0.5000 0.0000  4 Au 2.76, 2 Li 2.86
Tb 0.8386 0.6778 0.6771  5 Au 2.91-3.00
Tb 0.1614 0.3222 0.3229  5 Au 2.91-3.00
Tb 0.6614 0.0006 0.3229  5 Au 2.91-3.00
Tb 0.3386 0.9994 0.6771  5 Au 2.91-3.00
Au 0.4032 0.6796 0.8064  2 Li 2.76, 5 Tb 2.91-3.00
Au 0.5968 0.3204 0.1936  2 Li 2.76, 5 Tb 2.91-3.00
Au 0.0968 0.8732 0.1936  2 Li 2.76, 5 Tb 2.91-3.00
Au 0.9032 0.1268 0.8064  2 Li 2.76, 5 Tb 2.91-3.00

Here are the calculated magnetization numbers, same order: 0.0; 0.0; 0.0; 0.0; 0.0; 0.0; 0.0; 0.0; 0.0; 0.0; 0.0; 0.0 (μB/f.u.).
Here are the calculated DFT total energy numbers, same order: -22.54; -35.46; -12.76; -47.46; -40.89; -41.21; -24.39; -39.86; -44.13; -26.95; -54.22; -41.44 (eV per cell).
Here are the calculated DOS at the Fermi energy numbers, same order: 5.47; 3.81; 4.53; 9.04; 5.76; 7.15; 4.04; 4.31; 5.17; 4.85; 7.51; 7.77 (states/eV/cell).